Here is MnBe2Ru after structural relaxation from Alexandria. Energies are from PBEsol.

```
MnBe2Ru
1.0
2.754 0.000 0.000
0.000 4.127 0.000
0.000 0.000 7.553
Mn Be Ru
2 4 2
Cartesian
0.000 0.000 0.000
1.377 2.063 0.000
0.000 0.000 3.576
0.000 2.063 1.794
1.377 0.000 1.794
1.377 2.063 3.576
0.000 2.063 5.461
1.377 0.000 5.461
```

As for the density of states at the Fermi level: 0.878 states/eV/atom. For the calculated total energy, the calculation gives -6.74 eV/atom. The value obtained for the volume is 42.9 Å³/f.u. For the calculated formation energy, the calculation gives 0.25 eV per atom. The density is 6.73 g/cm³.


Here is CrAs2Se after structural relaxation from Alexandria. Energies are from PBEsol.

```
CrAs2Se
1.0
3.158 0.000 0.000
0.000 4.123 0.000
0.000 0.000 11.010
Cr As Se
2 4 2
Cartesian
0.000 0.000 0.000
1.579 2.062 5.505
0.000 2.062 3.337
0.000 2.062 7.673
1.579 0.000 2.168
1.579 0.000 8.842
0.000 0.000 5.505
1.579 2.062 0.000
```

As for the density of states at the Fermi level: 0.620 states/eV/atom. As for the formation energy (no corrections): 0.76 eV per formula unit. For the calculated total energy, the calculation gives -5.89 eV/atom. The value obtained for the volume is 71.7 Å³/f.u. The density is 6.50 g/cm³.


Here is ZrSc2Cd after structural relaxation from Alexandria. Energies are from PBEsol.

```
ZrSc2Cd
1.0
4.415 0.000 0.000
0.000 4.415 0.000
0.000 0.000 8.800
Zr Sc Cd
2 4 2
Cartesian
0.000 0.000 0.000
2.207 2.207 4.400
0.000 2.207 2.200
0.000 2.207 6.600
2.207 0.000 2.200
2.207 0.000 6.600
0.000 0.000 4.400
2.207 2.207 0.000
```

The energy above the most stable polymorph in this dataset comes out at 117 meV per atom. As for the density of states at the Fermi level: 1.674 states/eV/atom. For the calculated total energy, the calculation gives -5.94 eV/atom. The value obtained for the volume is 85.7 Å³/f.u. For the calculated formation energy, the calculation gives -0.07 eV per atom. The density is 5.68 g/cm³.


Here is Ca12Al14O33 after structural relaxation from Alexandria. Energies are from PBEsol.

```
Ca12Al14O33
1.0
-6.002 6.002 5.953
6.002 -6.002 5.953
6.002 6.002 -5.953
Ca Al O
12 14 33
Cartesian
2.958 1.618 -1.469
0.000 0.000 2.123
2.967 -1.346 4.487
4.384 -3.045 7.423
4.656 3.035 1.466
3.035 7.348 -1.466
0.000 6.002 0.162
3.045 4.384 4.484
0.000 0.000 9.784
1.346 2.967 7.419
1.618 9.047 1.469
0.000 6.002 5.791
2.998 7.512 4.455
8.773 -0.214 1.276
3.231 0.214 1.276
6.202 3.232 -1.701
5.788 -2.771 4.677
6.002 0.000 2.977
1.510 3.004 1.498
0.000 0.000 5.953
-0.200 2.770 4.252
6.216 2.771 4.677
3.232 5.802 1.701
2.770 0.200 7.655
-2.998 4.492 4.455
-1.510 9.001 1.498
0.000 0.000 0.000
6.844 -3.683 3.654
8.294 0.439 -0.307
7.777 2.543 -2.203
5.583 3.712 -3.295
7.169 -0.703 1.887
5.190 2.178 -0.749
2.319 -0.842 2.299
4.157 -3.353 5.100
4.836 0.703 1.887
2.649 1.845 0.853
5.299 -1.167 4.066
9.685 0.842 2.299
6.737 4.722 -0.940
0.439 3.710 0.307
0.419 2.290 2.658
6.705 1.167 4.066
3.824 -0.812 6.703
4.722 5.268 0.940
-0.734 1.280 5.013
2.543 4.227 2.203
-1.775 3.459 3.750
5.160 3.683 3.654
2.178 6.814 0.749
1.280 0.734 6.893
1.845 9.355 -0.853
5.563 2.292 6.260
2.290 -0.419 9.248
0.812 3.824 5.204
3.712 6.421 3.295
3.459 1.775 8.156
3.353 4.157 6.806
-2.292 5.563 5.646
```

As for the density of states at the Fermi level: 0.000 states/eV/atom. As for the formation energy (no corrections): -179.94 eV per formula unit. For the calculated total energy, the calculation gives -7.39 eV/atom. The value obtained for the volume is 857.9 Å³/f.u. The density is 2.68 g/cm³.


Here is HoInPt2 after structural relaxation from Alexandria. Energies are from PBEsol.

```
HoInPt2
1.0
6.676 0.000 0.000
0.000 6.676 0.000
0.000 0.000 6.676
Ho In Pt
4 4 8
Cartesian
0.000 0.000 0.000
0.000 3.338 3.338
3.338 0.000 3.338
3.338 3.338 0.000
0.000 0.000 3.338
0.000 3.338 0.000
3.338 0.000 0.000
3.338 3.338 3.338
1.669 1.669 1.669
1.669 1.669 5.007
1.669 5.007 1.669
1.669 5.007 5.007
5.007 1.669 1.669
5.007 1.669 5.007
5.007 5.007 1.669
5.007 5.007 5.007
```

As for the density of states at the Fermi level: 0.424 states/eV/atom. For the calculated total energy, the calculation gives -6.38 eV/atom. The value obtained for the volume is 74.4 Å³/f.u. For the calculated formation energy, the calculation gives -0.92 eV per atom. The density is 14.96 g/cm³.


Here is Zn5Cu3 after structural relaxation from Alexandria. Energies are from PBEsol.

```
Zn5Cu3
1.0
2.946 0.000 0.000
0.000 2.946 0.000
0.000 0.000 11.679
Zn Cu
5 3
Cartesian
0.000 0.000 0.000
0.000 0.000 2.841
0.000 0.000 8.838
1.473 1.473 4.422
1.473 1.473 7.257
0.000 0.000 5.840
1.473 1.473 1.425
1.473 1.473 10.255
```

The energy above the most stable polymorph in this dataset comes out at 0 meV per atom. As for the density of states at the Fermi level: 0.239 states/eV/atom. For the calculated total energy, the calculation gives -2.69 eV/atom. The value obtained for the volume is 101.4 Å³/f.u. For the calculated formation energy, the calculation gives -0.08 eV per atom. The density is 8.48 g/cm³.


What is the density of states at the Fermi level in the first record?
0.878 states/eV/atom